[1]
TbAgSe2 (PBE-GGA, optimized geometry); raw total energy = -4.769 eV/atom
1.0
6.8498 0.0000 0.0000
0.0000 7.5017 0.0000
-0.9273 0.0000 7.2563
Tb Ag Se
4 4 8
Direct
0.1987 0.0406 0.2977
0.1987 0.4594 0.7977
0.8013 0.5406 0.2023
0.8013 0.9594 0.7023
0.4113 0.6688 0.4633
0.4113 0.8312 0.9633
0.5887 0.1688 0.0367
0.5887 0.3312 0.5367
0.0461 0.7295 0.5034
0.0461 0.7705 0.0034
0.3881 0.1020 0.7013
0.3881 0.3980 0.2013
0.6119 0.6020 0.7987
0.6119 0.8980 0.2987
0.9539 0.2295 0.9966
0.9539 0.2705 0.4966

---

[2]
TbAgTeSe (PBE-GGA, optimized geometry); raw total energy = -4.586 eV/atom
1.0
9.4422 0.0000 0.0000
0.0000 10.2607 0.0000
0.0000 0.0000 4.4588
Tb Ag Te Se
4 4 4 4
Direct
0.0000 0.0000 0.0000
0.0000 0.5000 0.3773
0.5000 0.0000 0.3773
0.5000 0.5000 0.0000
0.2500 0.2500 0.1504
0.2500 0.7500 0.1504
0.7500 0.2500 0.1504
0.7500 0.7500 0.1504
0.0000 0.2074 0.4885
0.0000 0.7926 0.4885
0.5000 0.2926 0.4885
0.5000 0.7074 0.4885
0.2010 0.5000 0.9009
0.2990 0.0000 0.9009
0.7010 0.0000 0.9009
0.7990 0.5000 0.9009

---

[3]
TbAgTeSe (PBE-GGA, optimized geometry); raw total energy = -4.589 eV/atom
1.0
4.4921 0.0000 0.0000
0.0000 6.9530 0.0000
-0.1324 0.0000 6.9432
Tb Ag Te Se
2 2 2 2
Direct
0.1912 0.0000 0.2752
0.8088 0.5000 0.7248
0.0033 0.4879 0.2464
0.9967 0.9879 0.7536
0.3031 0.2876 0.9505
0.6969 0.7876 0.0495
0.2825 0.6968 0.5461
0.7175 0.1968 0.4539

---

[4]
Tb2Ag2Te3Se (PBE-GGA, optimized geometry); raw total energy = -4.471 eV/atom
1.0
9.7357 0.0000 0.0000
0.0000 10.1539 0.0000
-0.0472 0.0000 4.5720
Tb Ag Te Se
4 4 6 2
Direct
0.0000 0.0000 0.0000
0.0275 0.5000 0.3747
0.5000 0.5000 0.0000
0.5275 0.0000 0.3747
0.2724 0.2471 0.2034
0.2724 0.7529 0.2034
0.7724 0.2529 0.2034
0.7724 0.7471 0.2034
0.0216 0.2945 0.8905
0.0216 0.7055 0.8905
0.2194 0.0000 0.4886
0.5216 0.2055 0.8905
0.5216 0.7945 0.8905
0.7194 0.5000 0.4886
0.3157 0.5000 0.4737
0.8157 0.0000 0.4737

---

[5]
TbTlAg3Se4 (PBE-GGA, optimized geometry); raw total energy = -3.782 eV/atom
1.0
6.4386 0.0000 0.0000
0.0000 6.4386 0.0000
0.0000 0.0000 6.4386
Tb Tl Ag Se
1 1 3 4
Direct
0.0000 0.0000 0.0000
0.5000 0.5000 0.5000
0.0000 0.0000 0.5000
0.0000 0.5000 0.0000
0.5000 0.0000 0.0000
0.2428 0.2428 0.7572
0.2428 0.7572 0.2428
0.7572 0.2428 0.2428
0.7572 0.7572 0.7572

---

[6]
TbTlAgSe3 (PBE-GGA, optimized geometry); raw total energy = -4.251 eV/atom
1.0
2.0432 -7.1783 0.0000
2.0432 7.1783 0.0000
0.0000 0.0000 10.9212
Tb Tl Ag Se
2 2 2 6
Direct
0.0000 0.0000 0.0000
0.0000 0.0000 0.5000
0.2448 0.7552 0.7500
0.7552 0.2448 0.2500
0.4627 0.5373 0.2500
0.5373 0.4627 0.7500
0.0788 0.9212 0.2500
0.3635 0.6365 0.0490
0.3635 0.6365 0.4510
0.6365 0.3635 0.5490
0.6365 0.3635 0.9510
0.9212 0.0788 0.7500

---

[7]
TbTlAg3Se4 (PBE-GGA, optimized geometry); raw total energy = -3.776 eV/atom
1.0
6.2196 0.0000 0.0000
0.0000 7.5995 0.0000
-2.8071 0.0000 10.0551
Tb Tl Ag Se
2 2 6 8
Direct
0.0946 0.2500 0.2981
0.9054 0.7500 0.7019
0.2218 0.2500 0.9014
0.7782 0.7500 0.0986
0.2987 0.5583 0.5351
0.2987 0.9417 0.5351
0.4544 0.7500 0.8000
0.5456 0.2500 0.2000
0.7013 0.0583 0.4649
0.7013 0.4417 0.4649
0.0628 0.2500 0.5655
0.1981 0.7500 0.9501
0.3560 0.5300 0.2695
0.3560 0.9700 0.2695
0.6440 0.0300 0.7305
0.6440 0.4700 0.7305
0.8019 0.2500 0.0499
0.9372 0.7500 0.4345

---

[8]
TcAgSe2 (PBE-GGA, optimized geometry); raw total energy = -5.234 eV/atom
1.0
4.6311 0.0000 0.0000
0.6903 5.3210 0.0000
2.3110 -0.0150 7.2880
Tc Ag Se
2 2 4
Direct
0.1833 0.1212 0.0000
0.8167 0.8788 0.0000
0.3050 0.5018 0.3892
0.6950 0.4982 0.6108
0.1033 0.4995 0.7938
0.3689 0.0011 0.2626
0.6311 0.9989 0.7374
0.8967 0.5005 0.2062

---

[9]
TlAgTeWSe2 (PBE-GGA, optimized geometry); raw total energy = -4.709 eV/atom
1.0
1.7769 -8.0097 0.0000
1.7769 8.0097 0.0000
0.0000 0.0000 10.6404
Tl Ag Te W Se
2 2 2 2 4
Direct
0.2380 0.7620 0.7500
0.7620 0.2380 0.2500
0.4359 0.5641 0.2500
0.5641 0.4359 0.7500
0.0745 0.9255 0.2500
0.9255 0.0745 0.7500
0.0000 0.0000 0.0000
0.0000 0.0000 0.5000
0.3832 0.6168 0.0229
0.3832 0.6168 0.4771
0.6168 0.3832 0.5229
0.6168 0.3832 0.9771

---

[10]
ZrTlAgTeSe2 (PBE-GGA, optimized geometry); raw total energy = -4.688 eV/atom
1.0
8.2914 0.0000 0.0000
0.0000 4.0577 0.0000
-3.5056 0.0000 10.0201
Zr Tl Ag Te Se
2 2 2 2 4
Direct
0.2130 0.2500 0.1754
0.7870 0.7500 0.8246
0.2341 0.7500 0.6922
0.7659 0.2500 0.3078
0.4320 0.7500 0.3955
0.5680 0.2500 0.6045
0.0669 0.2500 0.8737
0.9331 0.7500 0.1263
0.2311 0.2500 0.4286
0.4133 0.7500 0.1432
0.5867 0.2500 0.8568
0.7689 0.7500 0.5714